Entry 1:
The following is a DFT calculation (PBE-GGA) of crystalline CaCeCo2P2 at its relaxed geometry.

abc: 3.8717 3.8717 8.1343
angles: 90.00 90.00 120.00
Last column: nearest neighbours and their distance in Å.
Positions (direct):
Ca (0.0000, 0.0000, 0.0000)  6 P 3.02, 6 Co 3.15
Ce (0.0000, 0.0000, 0.5000)  6 Co 2.90, 6 P 3.03
Co (0.3333, 0.6667, 0.2722)  3 P 2.24
Co (0.6667, 0.3333, 0.7278)  3 P 2.24
P (0.3333, 0.6667, 0.7512)  3 Co 2.24
P (0.6667, 0.3333, 0.2488)  3 Co 2.24

Results
Calculated formation energy in eV/atom: -0.94
Space-group type: P-3m1


Entry 2:
The following is a DFT calculation (PBE-GGA) of crystalline CaCeZnCo at its relaxed geometry.

abc: 6.9940 6.9940 6.9940
angles: 90.00 90.00 90.00
Last column: nearest neighbours and their distance in Å.
Positions (direct):
Ca (0.0000, 0.0000, 0.0000)  4 Co 3.03, 4 Zn 3.03
Ca (0.0000, 0.5000, 0.5000)  4 Co 3.03, 4 Zn 3.03
Ca (0.5000, 0.0000, 0.5000)  4 Co 3.03, 4 Zn 3.03
Ca (0.5000, 0.5000, 0.0000)  4 Co 3.03, 4 Zn 3.03
Ce (0.0000, 0.0000, 0.5000)  4 Zn 3.03, 4 Co 3.03
Ce (0.0000, 0.5000, 0.0000)  4 Zn 3.03, 4 Co 3.03
Ce (0.5000, 0.0000, 0.0000)  4 Zn 3.03, 4 Co 3.03
Ce (0.5000, 0.5000, 0.5000)  4 Zn 3.03, 4 Co 3.03
Zn (0.2500, 0.2500, 0.7500)  4 Ce 3.03, 4 Ca 3.03
Zn (0.2500, 0.7500, 0.2500)  4 Ce 3.03, 4 Ca 3.03
Zn (0.7500, 0.2500, 0.2500)  4 Ce 3.03, 4 Ca 3.03
Zn (0.7500, 0.7500, 0.7500)  4 Ce 3.03, 4 Ca 3.03
Co (0.2500, 0.2500, 0.2500)  4 Ce 3.03, 4 Ca 3.03
Co (0.2500, 0.7500, 0.7500)  4 Ce 3.03, 4 Ca 3.03
Co (0.7500, 0.2500, 0.7500)  4 Ce 3.03, 4 Ca 3.03
Co (0.7500, 0.7500, 0.2500)  4 Ce 3.03, 4 Ca 3.03

Results
Calculated formation energy in eV/atom: 0.00
Space-group type: F-43m


Entry 3:
The following is a DFT calculation (PBE-GGA) of crystalline CaCeCrN4 at its relaxed geometry.

abc: 5.7680 5.4708 6.7739
angles: 90.00 106.25 90.00
Last column: nearest neighbours and their distance in Å.
Positions (direct):
Ca (0.2059, 0.2500, 0.4192)  4 N 2.51-2.61
Ca (0.7941, 0.7500, 0.5808)  4 N 2.51-2.61
Ce (0.2750, 0.2500, 0.9419)  6 N 2.32-2.55
Ce (0.7250, 0.7500, 0.0581)  6 N 2.32-2.55
Cr (0.2644, 0.7500, 0.1962)  4 N 1.72-1.75
Cr (0.7356, 0.2500, 0.8038)  4 N 1.72-1.75
N (0.0587, 0.7500, 0.3435)  1 Cr 1.75
N (0.0828, 0.7500, 0.9462)  1 Cr 1.72
N (0.4580, 0.5027, 0.2264)  1 Cr 1.73
N (0.4580, 0.9973, 0.2264)  1 Cr 1.73
N (0.5420, 0.0027, 0.7736)  1 Cr 1.73
N (0.5420, 0.4973, 0.7736)  1 Cr 1.73
N (0.9172, 0.2500, 0.0538)  1 Cr 1.72
N (0.9413, 0.2500, 0.6565)  1 Cr 1.75

Results
Space-group type: P2_1/m
Energy relative to the elements, uncorrected in eV/f.u.: -6.61


Entry 4:
The following is a DFT calculation (PBE-GGA) of crystalline CaCe2CrN4 at its relaxed geometry.

abc: 6.1067 6.1067 12.0659
angles: 90.00 90.00 146.92
Last column: nearest neighbours and their distance in Å.
Positions (direct):
Ca (0.0974, 0.9026, 0.7500)  6 N 2.77-2.83
Ca (0.9026, 0.0974, 0.2500)  6 N 2.77-2.83
Ce (0.3679, 0.6321, 0.5466)  6 N 2.39-2.51
Ce (0.3679, 0.6321, 0.9534)  6 N 2.39-2.51
Ce (0.6321, 0.3679, 0.0466)  6 N 2.39-2.51
Ce (0.6321, 0.3679, 0.4534)  6 N 2.39-2.51
Cr (0.1712, 0.8288, 0.2500)  4 N 1.83-2.00
Cr (0.8288, 0.1712, 0.7500)  4 N 1.83-2.00
N (0.0000, 0.0000, 0.0000)  4 Ce 2.39
N (0.0000, 0.0000, 0.5000)  4 Ce 2.39
N (0.2609, 0.7391, 0.1256)  1 Cr 1.83
N (0.2609, 0.7391, 0.3744)  1 Cr 1.83
N (0.4132, 0.5868, 0.7500)  2 Cr 2.00
N (0.5868, 0.4132, 0.2500)  2 Cr 2.00
N (0.7391, 0.2609, 0.6256)  1 Cr 1.83
N (0.7391, 0.2609, 0.8744)  1 Cr 1.83

Results
Space-group type: Cmcm
Energy relative to the elements, uncorrected in eV/f.u.: -8.53


Entry 5:
The following is a DFT calculation (PBE-GGA) of crystalline Ca2CeCrN4 at its relaxed geometry.

abc: 5.9896 5.9896 11.8221
angles: 90.00 90.00 147.12
Last column: nearest neighbours and their distance in Å.
Positions (direct):
Ca (0.1294, 0.8706, 0.5400)  4 N 2.30-2.52
Ca (0.1294, 0.8706, 0.9600)  4 N 2.30-2.52
Ca (0.8706, 0.1294, 0.0400)  4 N 2.30-2.52
Ca (0.8706, 0.1294, 0.4600)  4 N 2.30-2.52
Ce (0.4112, 0.5888, 0.7500)  6 N 2.65-2.66
Ce (0.5888, 0.4112, 0.2500)  6 N 2.65-2.66
Cr (0.3240, 0.6760, 0.2500)  2 N 1.73
Cr (0.6760, 0.3240, 0.7500)  2 N 1.73
N (0.0899, 0.9101, 0.7500)  2 Cr 1.96
N (0.2252, 0.7748, 0.1395)  1 Cr 1.73
N (0.2252, 0.7748, 0.3605)  1 Cr 1.73
N (0.5000, 0.5000, 0.0000)  4 Ca 2.30
N (0.5000, 0.5000, 0.5000)  4 Ca 2.30
N (0.7748, 0.2252, 0.6395)  1 Cr 1.73
N (0.7748, 0.2252, 0.8605)  1 Cr 1.73
N (0.9101, 0.0899, 0.2500)  2 Cr 1.96

Results
Space-group type: Cmcm
Energy relative to the elements, uncorrected in eV/f.u.: -7.04


Entry 6:
The following is a DFT calculation (PBE-GGA) of crystalline Ca2CeCr2N4 at its relaxed geometry.

abc: 6.5675 6.5675 6.1318
angles: 108.24 108.24 29.07
Last column: nearest neighbours and their distance in Å.
Positions (direct):
Ca (0.1356, 0.1356, 0.0479)  5 N 2.56-2.61
Ca (0.8644, 0.8644, 0.9521)  5 N 2.56-2.61
Ce (0.0000, 0.0000, 0.5000)  6 N 2.40-2.66
Cr (0.3143, 0.3143, 0.5139)  2 N 1.88-1.97
Cr (0.6857, 0.6857, 0.4861)  2 N 1.88-1.97
N (0.2189, 0.2189, 0.7116)  3 Cr 1.97-2.10
N (0.4550, 0.4550, 0.7405)  1 Cr 1.88
N (0.5450, 0.5450, 0.2595)  1 Cr 1.88
N (0.7811, 0.7811, 0.2884)  3 Cr 1.97-2.10

Results
Space-group type: C2/m
Energy relative to the elements, uncorrected in eV/f.u.: -6.81